No. 1
# PBE-GGA TbNdSmTh2, optimized geometry
# E_form (meV/atom): 388
# Electronic total energy (eV per atom): -5.40
data_TbNdSmTh2
_chemical_formula_sum 'Tb4 Nd4 Sm4 Th8'
_cell_length_a 6.705
_cell_length_b 15.822
_cell_length_c 6.714
_cell_angle_alpha 90.00
_cell_angle_beta 90.00
_cell_angle_gamma 90.00
_symmetry_space_group_name_H-M 'C m c m'
_symmetry_Int_Tables_number 63
_symmetry_space_group_name_Hall '-C 2c 2'
loop_
_atom_site_label
_atom_site_fract_x
_atom_site_fract_y
_atom_site_fract_z
_atom_site_occupancy
Tb1 0.000 0.152 0.250 1
Nd1 0.000 0.349 0.250 1
Sm1 0.000 0.229 0.750 1
Th1 0.246 0.000 0.000 1

No. 2
# PBE-GGA NpUP, optimized geometry
# E_form (meV/atom): -487
# Electronic total energy (eV per atom): -10.37
data_NpUP
_chemical_formula_sum 'Np2 U2 P2'
_cell_length_a 3.706
_cell_length_b 3.706
_cell_length_c 8.436
_cell_angle_alpha 90.00
_cell_angle_beta 90.00
_cell_angle_gamma 90.00
_symmetry_space_group_name_H-M 'I 4 m m'
_symmetry_Int_Tables_number 107
_symmetry_space_group_name_Hall 'I 4 -2'
loop_
_atom_site_label
_atom_site_fract_x
_atom_site_fract_y
_atom_site_fract_z
_atom_site_occupancy
Np1 0.000 0.000 0.000 1
U1 0.000 0.000 0.707 1
P1 0.000 0.000 0.353 1

No. 3
# PBE-GGA Ti2MnCrH, optimized geometry
# Electronic total energy (eV per atom): -7.70
data_Ti2MnCrH
_chemical_formula_sum 'Ti2 Mn1 Cr1 H1'
_cell_length_a 4.249
_cell_length_b 4.249
_cell_length_c 3.228
_cell_angle_alpha 90.00
_cell_angle_beta 90.00
_cell_angle_gamma 90.00
_symmetry_space_group_name_H-M 'P 4/m m m'
_symmetry_Int_Tables_number 123
_symmetry_space_group_name_Hall '-P 4 2'
loop_
_atom_site_label
_atom_site_fract_x
_atom_site_fract_y
_atom_site_fract_z
_atom_site_occupancy
Ti1 0.000 0.500 0.000 1
Mn1 0.000 0.000 0.500 1
Cr1 0.500 0.500 0.500 1
H1 0.000 0.000 0.000 1

No. 4
# PBE-GGA TaGa3Hg, optimized geometry
# E_form (meV/atom): 596
# Electronic total energy (eV per atom): -3.65
data_TaGa3Hg
_chemical_formula_sum 'Ta1 Ga3 Hg1'
_cell_length_a 5.143
_cell_length_b 5.143
_cell_length_c 5.143
_cell_angle_alpha 90.00
_cell_angle_beta 90.00
_cell_angle_gamma 90.00
_symmetry_space_group_name_H-M 'P m -3 m'
_symmetry_Int_Tables_number 221
_symmetry_space_group_name_Hall '-P 4 2 3'
loop_
_atom_site_label
_atom_site_fract_x
_atom_site_fract_y
_atom_site_fract_z
_atom_site_occupancy
Ta1 0.000 0.000 0.000 1
Ga1 0.000 0.000 0.500 1
Hg1 0.500 0.500 0.500 1

No. 5
# PBE-GGA ErSc2Ni, optimized geometry
# E_form (meV/atom): -195
# Electronic total energy (eV per atom): -5.95
data_ErSc2Ni
_chemical_formula_sum 'Er1 Sc2 Ni1'
_cell_length_a 3.243
_cell_length_b 3.243
_cell_length_c 8.240
_cell_angle_alpha 90.00
_cell_angle_beta 90.00
_cell_angle_gamma 90.00
_symmetry_space_group_name_H-M 'P 4/m m m'
_symmetry_Int_Tables_number 123
_symmetry_space_group_name_Hall '-P 4 2'
loop_
_atom_site_label
_atom_site_fract_x
_atom_site_fract_y
_atom_site_fract_z
_atom_site_occupancy
Er1 0.000 0.000 0.000 1
Sc1 0.500 0.500 0.316 1
Ni1 0.000 0.000 0.500 1

No. 6
# PBE-GGA Ta4HgMo, optimized geometry
# E_form (meV/atom): 494
# Electronic total energy (eV per atom): -9.26
data_Ta4HgMo
_chemical_formula_sum 'Ta16 Hg4 Mo4'
_cell_length_a 7.685
_cell_length_b 7.685
_cell_length_c 7.685
_cell_angle_alpha 90.00
_cell_angle_beta 90.00
_cell_angle_gamma 90.00
_symmetry_space_group_name_H-M 'F -4 3 m'
_symmetry_Int_Tables_number 216
_symmetry_space_group_name_Hall 'F -4 2 3'
loop_
_atom_site_label
_atom_site_fract_x
_atom_site_fract_y
_atom_site_fract_z
_atom_site_occupancy
Ta1 0.123 0.123 0.377 1
Hg1 0.000 0.000 0.000 1
Mo1 0.250 0.250 0.750 1

No. 7
# PBE-GGA Ca2Pr5Y5, optimized geometry
# E_form (meV/atom): 58
# Electronic total energy (eV per atom): -4.96
data_Ca2Pr5Y5
_chemical_formula_sum 'Ca4 Pr10 Y10'
_cell_length_a 15.572
_cell_length_b 5.179
_cell_length_c 11.659
_cell_angle_alpha 90.00
_cell_angle_beta 116.38
_cell_angle_gamma 90.00
_symmetry_space_group_name_H-M 'C 1 2/m 1'
_symmetry_Int_Tables_number 12
loop_
_symmetry_equiv_pos_as_xyz
'x,y,z'
'-x,-y,-z'
'-x,y,-z'
'x,-y,z'
'x+1/2,y+1/2,z'
'-x+1/2,-y+1/2,-z'
'-x+1/2,y+1/2,-z'
'x+1/2,-y+1/2,z'
loop_
_atom_site_label
_atom_site_fract_x
_atom_site_fract_y
_atom_site_fract_z
_atom_site_occupancy
Ca1 0.083 0.000 0.249 1
Pr1 0.000 0.500 0.000 1
Pr2 0.089 0.500 0.752 1
Pr3 0.164 0.500 0.504 1
Y1 0.000 0.000 0.500 1
Y2 0.173 0.000 0.002 1
Y3 0.246 0.000 0.752 1